1 | Computed, not measured: CeSmZnAu after structural relaxation at the GGA-PBE level of DFT.

Cell: 7.3449 7.3449 7.3449 Å, 90.00 90.00 90.00°
With the nearest neighbours (Å) after each atom.
Sites, in units of the cell vectors:
Ce 0.0000 0.0000 0.0000  4 Zn 3.18, 4 Au 3.18
Ce 0.0000 0.5000 0.5000  4 Zn 3.18, 4 Au 3.18
Ce 0.5000 0.0000 0.5000  4 Zn 3.18, 4 Au 3.18
Ce 0.5000 0.5000 0.0000  4 Zn 3.18, 4 Au 3.18
Sm 0.0000 0.0000 0.5000  4 Zn 3.18, 4 Au 3.18
Sm 0.0000 0.5000 0.0000  4 Zn 3.18, 4 Au 3.18
Sm 0.5000 0.0000 0.0000  4 Zn 3.18, 4 Au 3.18
Sm 0.5000 0.5000 0.5000  4 Zn 3.18, 4 Au 3.18
Zn 0.2500 0.2500 0.7500  4 Ce 3.18, 4 Sm 3.18
Zn 0.2500 0.7500 0.2500  4 Ce 3.18, 4 Sm 3.18
Zn 0.7500 0.2500 0.2500  4 Ce 3.18, 4 Sm 3.18
Zn 0.7500 0.7500 0.7500  4 Ce 3.18, 4 Sm 3.18
Au 0.2500 0.2500 0.2500  4 Ce 3.18, 4 Sm 3.18
Au 0.2500 0.7500 0.7500  4 Ce 3.18, 4 Sm 3.18
Au 0.7500 0.2500 0.7500  4 Ce 3.18, 4 Sm 3.18
Au 0.7500 0.7500 0.2500  4 Ce 3.18, 4 Sm 3.18

2 | Computed, not measured: CeSmZnAu after structural relaxation at the GGA-PBE level of DFT.

Cell: 3.6745 3.6745 7.2794 Å, 90.00 90.00 90.00°
With the nearest neighbours (Å) after each atom.
Sites, in units of the cell vectors:
Ce 0.0000 0.0000 0.0000  4 Zn 3.17, 4 Au 3.21
Sm 0.0000 0.0000 0.4945  4 Zn 3.15, 4 Au 3.16
Zn 0.5000 0.5000 0.2499  4 Sm 3.15, 4 Ce 3.17
Au 0.5000 0.5000 0.7404  4 Sm 3.16, 4 Ce 3.21

Name the least stable of them. 1.